Entry 1:
The following is a DFT calculation (PBE-GGA) of a relaxed KNi2Ru crystal.

The structure in POSCAR format:
```
KNi2Ru
1.0
-2.359 -0.122 -1.135
-0.151 -3.564 0.696
-3.259 1.431 6.619
K Ni Ru
1 2 1
Direct
0.500 0.500 0.760
0.000 0.000 0.087
0.500 0.500 0.252
0.000 0.000 0.402
```

Computed properties:
Total magnetization, μB/f.u.: 0.06
Total energy, eV/atom: -4.80
Formation enthalpy at 0 K, eV/atom: 0.68
Space group: No. 25

Entry 2:
The following is a DFT calculation (PBE-GGA) of a relaxed LiHfSc2 crystal.

The structure in POSCAR format:
```
LiHfSc2
1.0
3.179 0.000 0.000
1.589 2.753 0.000
1.589 0.918 10.656
Sc Hf Li
2 1 1
Direct
0.754 0.754 0.738
0.246 0.246 0.262
0.500 0.500 0.500
0.000 0.000 0.000
```

Computed properties:
Total magnetization, μB/f.u.: 0.00
Total energy, eV/atom: -6.04
Formation enthalpy at 0 K, eV/atom: 0.10
Space group: No. 166

Entry 3:
The following is a DFT calculation (PBE-GGA) of a relaxed Ba3S crystal.

The structure in POSCAR format:
```
Ba3S
1.0
4.197 0.000 0.000
0.000 7.606 0.000
-2.099 -3.803 6.442
S Ba
1 3
Direct
0.000 0.041 0.000
0.335 0.722 0.670
0.500 0.352 0.000
0.665 0.052 0.330
```

Computed properties:
Formation energy (no corrections), eV per atom: -0.848
Total magnetization, μB/f.u.: 0.00
Total energy, eV/atom: -3.32
Space group: No. 44

Entry 4:
The following is a DFT calculation (PBE-GGA) of a relaxed PuScCo4 crystal.

The structure in POSCAR format:
```
PuScCo4
1.0
4.949 0.000 0.000
2.474 4.286 0.000
2.474 1.429 4.041
Sc Co Pu
1 4 1
Direct
0.000 0.000 0.000
0.625 0.625 0.124
0.625 0.124 0.625
0.625 0.625 0.625
0.124 0.625 0.625
0.250 0.250 0.250
```

Computed properties:
Total magnetization, μB/f.u.: 1.18
Total energy, eV/atom: -8.43
Formation enthalpy at 0 K, eV/atom: -0.25
Space group: No. 216

Entry 5:
The following is a DFT calculation (PBE-GGA) of a relaxed KTcSe2 crystal.

The structure in POSCAR format:
```
KTcSe2
1.0
-6.288 1.492 -1.211
-6.411 -1.414 0.365
0.977 2.783 5.206
K Se Tc
1 2 1
Direct
0.264 0.264 0.107
0.003 0.003 0.048
0.794 0.794 0.603
0.439 0.439 0.742
```

Computed properties:
Formation energy (no corrections), eV per atom: -0.208
Total magnetization, μB/f.u.: 1.94
Total energy, eV/atom: -4.82
Space group: No. 8

Entry 6:
The following is a DFT calculation (PBE-GGA) of a relaxed BaCd2BiPt crystal.

The structure in POSCAR format:
```
BaCd2BiPt
1.0
5.260 0.000 0.000
0.000 5.260 0.000
0.000 0.000 5.634
Cd Bi Pt Ba
2 1 1 1
Direct
0.000 0.500 0.000
0.500 0.000 0.000
0.000 0.000 0.500
0.000 0.000 0.000
0.500 0.500 0.500
```

Computed properties:
Total magnetization, μB/f.u.: 0.00
Total energy, eV/atom: -3.10
Formation enthalpy at 0 K, eV/atom: -0.36
Space group: No. 123

N(E_F) for every record listed, in sequence, given in states/eV per atom: 1.407; 1.316; 1.053; 1.366; 0.569; 0.521.